{"formula": "PmPuFe2O6", "functional": "PBE+U", "state": "optimized geometry", "lattice_angstrom": [[-2.955, 4.615, -1.384], [0.359, -1.414, -5.481], [-7.039, -4.542, 0.710]], "species": ["Pm", "Pm", "Pu", "Pu", "Fe", "Fe", "Fe", "Fe", "O", "O", "O", "O", "O", "O", "O", "O", "O", "O", "O", "O"], "fractional_positions": [[0.500, 0.000, 0.000], [0.000, 0.500, 0.500], [0.500, 0.000, 0.500], [0.000, 0.500, 0.000], [0.978, 0.974, 0.255], [0.478, 0.526, 0.755], [0.022, 0.026, 0.745], [0.522, 0.474, 0.245], [0.327, 0.648, 0.072], [0.827, 0.852, 0.572], [0.673, 0.352, 0.928], [0.173, 0.148, 0.428], [0.361, 0.680, 0.415], [0.861, 0.820, 0.915], [0.639, 0.320, 0.585], [0.139, 0.180, 0.085], [0.865, 0.627, 0.241], [0.365, 0.873, 0.741], [0.135, 0.373, 0.759], [0.635, 0.127, 0.259]], "magnetic_moment_mub_per_fu": 5.0, "dft_energy_ev_per_atom": -8.33, "dos_ef_per_ev_cell": 14.310}